Entry 1:
Compound: PrNd4Pd4
Source: Alexandria via LeMat-Bulk
Functional: PBE-GGA
Structure: relaxed

As for the final energy: -5.5417 eV per atom.

The structure belongs to space group P4_2/n (No. 86, origin choice 2); the cell edges are 9.202, 9.202 and 6.020 Å and the angles 90.00°, 90.00° and 90.00°. The asymmetric unit holds Pr at (0.250, 0.250, 0.250), Nd at (0.066, 0.659, 0.161) and Pd at (0.034, 0.627, 0.654).

***

Entry 2:
Compound: Pr2NdPd2
Source: Alexandria via LeMat-Bulk
Functional: PBE-GGA
Structure: relaxed

The excess energy over the best structure of this formula in the dataset is 0 meV per atom. As for the final energy: -5.5595 eV per atom.

The structure belongs to space group P4/mbm (No. 127); the cell edges are 8.121, 8.121 and 4.050 Å and the angles 90.00°, 90.00° and 90.00°. The asymmetric unit holds Pr at (0.168, 0.332, 0.000), Nd at (0.000, 0.000, 0.500) and Pd at (0.126, 0.626, 0.500).

***

Entry 3:
Compound: Pr2Nd3Pd2
Source: Alexandria via LeMat-Bulk
Functional: PBE-GGA
Structure: relaxed

As for the final energy: -5.3408 eV per atom.

The structure belongs to space group C2/m (No. 12); the cell edges are 12.715, 3.889 and 9.333 Å and the angles 90.00°, 115.78° and 90.00°. The asymmetric unit holds Pr at (0.157, 0.000, 0.311), Nd at (0.000, 0.500, 0.500), Nd at (0.116, 0.500, 0.941) and Pd at (0.164, 0.000, 0.732).

***

Entry 4:
Compound: Pr2NdPd2
Source: Alexandria via LeMat-Bulk
Functional: PBE-GGA
Structure: relaxed

The excess energy over the best structure of this formula in the dataset is 35 meV per atom. As for the final energy: -5.5246 eV per atom.

The structure belongs to space group Immm (No. 71); the cell edges are 4.096, 6.867 and 9.866 Å and the angles 90.00°, 90.00° and 90.00°. The asymmetric unit holds Pr at (0.000, 0.000, 0.192), Nd at (0.000, 0.500, 0.000) and Pd at (0.000, 0.297, 0.500).

***

Entry 5:
Compound: PrNdPd4
Source: Alexandria via LeMat-Bulk
Functional: PBE-GGA
Structure: relaxed

As for the final energy: -5.8077 eV per atom.

The structure belongs to space group F-43m (No. 216); the cell edges are 7.840, 7.840 and 7.840 Å and the angles 90.00°, 90.00° and 90.00°. The asymmetric unit holds Pr at (0.000, 0.000, 0.000), Nd at (0.250, 0.250, 0.250) and Pd at (0.125, 0.125, 0.625).

***

Entry 6:
Compound: PrNdPd2
Source: Alexandria via LeMat-Bulk
Functional: PBE-GGA
Structure: relaxed

The excess energy over the best structure of this formula in the dataset is 77 meV per atom. As for the final energy: -5.7024 eV per atom.

The structure belongs to space group Fm-3m (No. 225); the cell edges are 7.282, 7.282 and 7.282 Å and the angles 90.00°, 90.00° and 90.00°. The asymmetric unit holds Pr at (0.000, 0.000, 0.000), Nd at (0.000, 0.000, 0.500) and Pd at (0.250, 0.250, 0.250).

***

Entry 7:
Compound: PrNdPd2
Source: Alexandria via LeMat-Bulk
Functional: PBE-GGA
Structure: relaxed

The excess energy over the best structure of this formula in the dataset is 130 meV per atom. As for the final energy: -5.6497 eV per atom.

The structure belongs to space group R-3m (No. 166, hexagonal axes); the cell edges are 4.2236, 4.2236 and 20.7256 Å and the angles 90.00°, 90.00° and 120.00°. The asymmetric unit holds Pr at (0.0000, 0.0000, 0.0000), Nd at (0.0000, 0.0000, 0.5000) and Pd at (0.0000, 0.0000, 0.2491).

***

Entry 8:
Compound: Pr2Nd2Pd15
Source: Alexandria via LeMat-Bulk
Functional: PBE-GGA
Structure: relaxed

As for the final energy: -5.6389 eV per atom.

The structure belongs to space group R-3m (No. 166, hexagonal axes); the cell edges are 9.3459, 9.3459 and 14.2288 Å and the angles 90.00°, 90.00° and 120.00°. The asymmetric unit holds Pr at (0.0000, 0.0000, 0.1371), Nd at (0.0000, 0.0000, 0.3913), Pd at (0.0000, 0.3113, 0.5000), Pd at (0.0000, 0.5000, 0.0000) and Pd at (0.0086, 0.5043, 0.6547).

***

Entry 9:
Compound: PrNd2Pd2
Source: Alexandria via LeMat-Bulk
Functional: PBE-GGA
Structure: relaxed

The excess energy over the best structure of this formula in the dataset is 0 meV per atom. As for the final energy: -5.5621 eV per atom.

The structure belongs to space group P4/mbm (No. 127); the cell edges are 8.128, 8.128 and 4.004 Å and the angles 90.00°, 90.00° and 90.00°. The asymmetric unit holds Pr at (0.000, 0.000, 0.000), Nd at (0.167, 0.333, 0.500) and Pd at (0.126, 0.626, 0.000).

***

Entry 10:
Compound: PrNd3Pd12
Source: Alexandria via LeMat-Bulk
Functional: PBE-GGA
Structure: relaxed

As for the final energy: -5.8467 eV per atom.

The structure belongs to space group P4/mmm (No. 123); the cell edges are 4.199, 4.199 and 16.902 Å and the angles 90.00°, 90.00° and 90.00°. The asymmetric unit holds Pr at (0.000, 0.000, 0.000), Nd at (0.000, 0.000, 0.251), Nd at (0.000, 0.000, 0.500), Pd at (0.000, 0.500, 0.126), Pd at (0.000, 0.500, 0.375), Pd at (0.500, 0.500, 0.000), Pd at (0.500, 0.500, 0.250) and Pd at (0.500, 0.500, 0.500).

***

Entry 11:
Compound: PrNdPd
Source: Alexandria via LeMat-Bulk
Functional: PBE-GGA
Structure: relaxed

The excess energy over the best structure of this formula in the dataset is 117 meV per atom. As for the final energy: -5.2564 eV per atom.

The structure belongs to space group P3m1 (No. 156); the cell edges are 4.8739, 4.8739 and 4.0374 Å and the angles 90.00°, 90.00° and 120.00°. The asymmetric unit holds Pr at (0.0000, 0.0000, 0.0000), Nd at (0.6667, 0.3333, 0.4376) and Pd at (0.3333, 0.6667, 0.7053).

***

Entry 12:
Compound: PrNdPd6
Source: Alexandria via LeMat-Bulk
Functional: PBE-GGA
Structure: relaxed

As for the final energy: -5.8356 eV per atom.

The structure belongs to space group P4/mmm (No. 123); the cell edges are 4.213, 4.213 and 8.426 Å and the angles 90.00°, 90.00° and 90.00°. The asymmetric unit holds Pr at (0.000, 0.000, 0.000), Nd at (0.000, 0.000, 0.500), Pd at (0.000, 0.500, 0.251), Pd at (0.500, 0.500, 0.000) and Pd at (0.500, 0.500, 0.500).

***

Question: The lowest final energy belongs to which entry?
Answer: PrNd3Pd12